A plane-wave DFT calculation with GGA-PBE was carried out for Ta2Te2Se after structural relaxation.

a b c (Å): 7.638 7.638 12.454
angles (deg): 124.26 124.26 26.36
Sites, in units of the cell vectors:
Ta 0.088 0.088 0.146
Ta 0.264 0.264 0.606
Ta 0.736 0.736 0.394
Ta 0.912 0.912 0.854
Te 0.319 0.319 0.296
Te 0.398 0.398 0.029
Te 0.602 0.602 0.971
Te 0.681 0.681 0.704
Se 0.088 0.088 0.356
Se 0.912 0.912 0.644

Calculated values
* V: 26.3 Å³/atom
* polymorph energy (0 for the lowest one): 0.00 eV/f.u.
* total moment: 0.00 μB/atom
* space-group type: C2/m